## TaSnBiRu (PBE-GGA)

Data for crystalline TaSnBiRu at its relaxed geometry.

Cell lengths 3.155, 4.371, 7.699 Å; angles 86.71, 90.07, 68.77 degrees
Positions (direct):
Ta: 0.603 0.081 0.785
Sn: 0.012 0.262 0.441
Bi: 0.907 0.472 0.042
Ru: 0.317 0.654 0.653

## Properties
* formation energy: 0.8 eV/f.u.
* density of states at the Fermi level: 0.42 states/eV per atom